Run a
Entry from Alexandria: an optimized crystal structure of AlAs3S (PBE).

Unit cell a=4.799 b=4.799 c=4.799 alpha=90.00 beta=90.00 gamma=90.00
Atoms (fractional coordinates):
As: 0.000 0.500 0.000
As: 0.000 0.000 0.500
As: 0.500 0.000 0.000
S: 0.000 0.000 0.000
Al: 0.500 0.500 0.500

Properties
DOS at the Fermi energy   4.03 states/eV per cell

=====

Run b
Entry from Alexandria: an optimized crystal structure of AlAs3S (PBE).

Unit cell a=4.813 b=4.813 c=4.813 alpha=90.00 beta=90.00 gamma=90.00
Atoms (fractional coordinates):
As: 0.000 0.500 0.000
As: 0.000 0.000 0.500
As: 0.500 0.000 0.000
S: 0.500 0.500 0.500
Al: 0.000 0.000 0.000

Properties
DOS at the Fermi energy   6.24 states/eV per cell

=====

Stability ranking, top entry: run a; the second entry is 0.060 eV/atom less favorable.

=====

Run a
Entry from Alexandria: an optimized crystal structure of Al2SbAs (PBE).

Unit cell a=4.163 b=4.163 c=6.754 alpha=90.21 beta=90.21 gamma=52.14
Atoms (fractional coordinates):
Sb: 0.258 0.258 0.224
As: 0.489 0.489 0.723
Al: 0.961 0.961 0.999
Al: 0.792 0.792 0.554

Properties
DOS at the Fermi energy   1.37 states/eV per cell

=====

Run b
Entry from Alexandria: an optimized crystal structure of Al2SbAs (PBE).

Unit cell a=5.006 b=4.861 c=4.777 alpha=69.82 beta=73.49 gamma=112.04
Atoms (fractional coordinates):
Sb: 0.500 0.500 0.000
As: 0.000 0.500 0.500
Al: 0.000 0.000 0.000
Al: 0.500 0.000 0.500

Properties
DOS at the Fermi energy   1.86 states/eV per cell

=====

Stability ranking, top entry: run a; the second entry is 0.203 eV/atom less favorable.

=====

Run a
Entry from Alexandria: an optimized crystal structure of Al2SbAs (PBE).

Unit cell a=5.615 b=5.615 c=5.615 alpha=143.85 beta=126.83 gamma=65.99
Atoms (fractional coordinates):
Sb: 0.250 0.750 0.500
As: 0.750 0.250 0.500
Al: 0.971 0.971 0.000
Al: 0.529 0.529 0.000

Properties
DOS at the Fermi energy   1.52 states/eV per cell

=====

Run b
Entry from Alexandria: an optimized crystal structure of Al2SbAs (PBE).

Unit cell a=4.855 b=4.855 c=4.855 alpha=60.00 beta=60.00 gamma=60.00
Atoms (fractional coordinates):
Sb: 0.500 0.500 0.500
As: 0.000 0.000 0.000
Al: 0.250 0.250 0.250
Al: 0.750 0.750 0.750

Properties
DOS at the Fermi energy   1.87 states/eV per cell

=====

Stability ranking, top entry: run a; the second entry is 0.010 eV/atom less favorable.

=====

Run a
Entry from Alexandria: an optimized crystal structure of Al2SbAs (PBE).

Unit cell a=4.767 b=4.767 c=3.642 alpha=90.00 beta=90.00 gamma=99.83
Atoms (fractional coordinates):
Sb: 0.000 0.500 0.500
As: 0.500 0.000 0.500
Al: 0.000 0.000 0.000
Al: 0.500 0.500 0.000

Properties
DOS at the Fermi energy   1.27 states/eV per cell

=====

Run b
Entry from Alexandria: an optimized crystal structure of Al2SbAs (PBE).

Unit cell a=5.986 b=5.986 c=7.311 alpha=65.83 beta=65.83 gamma=90.00
Atoms (fractional coordinates):
Sb: 0.000 0.000 0.000
Sb: 0.750 0.250 0.500
As: 0.500 0.500 0.000
As: 0.250 0.750 0.500
Al: 0.599 0.125 0.250
Al: 0.151 0.625 0.250
Al: 0.375 0.401 0.750
Al: 0.875 0.849 0.750

Properties
DOS at the Fermi energy   0.00 states/eV per cell

=====

Run c
Entry from Alexandria: an optimized crystal structure of Al2SbAs (PBE).

Unit cell a=5.142 b=4.103 c=4.108 alpha=83.63 beta=90.00 gamma=90.00
Atoms (fractional coordinates):
Sb: 0.500 0.810 0.809
As: 0.000 0.411 0.411
Al: 0.000 0.994 0.996
Al: 0.500 0.285 0.283

Properties
DOS at the Fermi energy   1.25 states/eV per cell

=====

Run d
Entry from Alexandria: an optimized crystal structure of Al2SbAs (PBE).

Unit cell a=3.400 b=3.400 c=6.964 alpha=90.00 beta=90.00 gamma=90.00
Atoms (fractional coordinates):
Sb: 0.500 0.500 0.750
As: 0.500 0.500 0.250
Al: 0.000 0.000 0.039
Al: 0.000 0.000 0.461

Properties
DOS at the Fermi energy   1.24 states/eV per cell

=====

Stability ranking, top entry: run b; the second entry is 0.254 eV/atom less favorable.

=====

Run a
Entry from Alexandria: an optimized crystal structure of Al2SbAs (PBE).

Unit cell a=3.714 b=3.737 c=6.655 alpha=90.00 beta=90.00 gamma=90.00
Atoms (fractional coordinates):
Sb: 0.500 0.500 0.813
As: 0.000 0.000 0.329
Al: 0.000 0.000 0.959
Al: 0.500 0.500 0.399

Properties
DOS at the Fermi energy   1.85 states/eV per cell

=====

Run b
Entry from Alexandria: an optimized crystal structure of Al2SbAs (PBE).

Unit cell a=3.035 b=3.035 c=9.363 alpha=90.00 beta=90.00 gamma=100.03
Atoms (fractional coordinates):
Sb: 0.500 0.500 0.788
As: 0.000 0.000 0.438
Al: 0.000 0.000 0.031
Al: 0.500 0.500 0.242

Properties
DOS at the Fermi energy   1.51 states/eV per cell

=====

Stability ranking, top entry: run a; the second entry is 0.211 eV/atom less favorable.

=====

Run a
Entry from Alexandria: an optimized crystal structure of Al2SbAs (PBE).

Unit cell a=3.792 b=4.824 c=4.516 alpha=90.00 beta=90.00 gamma=90.00
Atoms (fractional coordinates):
Sb: 0.000 0.500 0.500
As: 0.500 0.000 0.500
Al: 0.000 0.000 0.000
Al: 0.500 0.500 0.000

Properties
DOS at the Fermi energy   1.72 states/eV per cell

=====

Run b
Entry from Alexandria: an optimized crystal structure of Al2SbAs (PBE).

Unit cell a=4.680 b=4.680 c=3.700 alpha=90.00 beta=90.00 gamma=90.00
Atoms (fractional coordinates):
Sb: 0.000 0.500 0.500
As: 0.500 0.000 0.500
Al: 0.000 0.000 0.000
Al: 0.500 0.500 0.000

Properties
DOS at the Fermi energy   2.11 states/eV per cell

=====

Stability ranking, top entry: run b; the second entry is 0.021 eV/atom less favorable.

=====

Run a
Entry from Alexandria: an optimized crystal structure of Al2SbAs (PBE).

Unit cell a=3.009 b=3.009 c=9.405 alpha=90.00 beta=90.00 gamma=90.00
Atoms (fractional coordinates):
Sb: 0.500 0.500 0.793
As: 0.000 0.000 0.431
Al: 0.000 0.000 0.039
Al: 0.500 0.500 0.237

Properties
DOS at the Fermi energy   1.65 states/eV per cell

=====

Run b
Entry from Alexandria: an optimized crystal structure of Al2SbAs (PBE).

Unit cell a=4.923 b=4.923 c=4.923 alpha=60.00 beta=60.00 gamma=60.00
Atoms (fractional coordinates):
Sb: 0.750 0.750 0.750
As: 0.500 0.500 0.500
Al: 0.000 0.000 0.000
Al: 0.250 0.250 0.250

Properties
DOS at the Fermi energy   1.78 states/eV per cell

=====

Stability ranking, top entry: run a; the second entry is 0.145 eV/atom less favorable.

=====

Run a
Entry from Alexandria: an optimized crystal structure of Al2SbAs (PBE).

Unit cell a=7.073 b=7.073 c=7.073 alpha=31.35 beta=31.35 gamma=31.35
Atoms (fractional coordinates):
Sb: 0.750 0.750 0.750
As: 0.250 0.250 0.250
Al: 0.989 0.989 0.989
Al: 0.511 0.511 0.511

Properties
DOS at the Fermi energy   1.56 states/eV per cell

=====

Run b
Entry from Alexandria: an optimized crystal structure of Al2SbAs (PBE).

Unit cell a=3.744 b=4.911 c=5.050 alpha=71.56 beta=90.00 gamma=90.00
Atoms (fractional coordinates):
Sb: 0.500 0.750 0.750
As: 0.500 0.250 0.250
Al: 0.000 0.026 0.024
Al: 0.000 0.474 0.476

Properties
DOS at the Fermi energy   1.86 states/eV per cell

=====

Run c
Entry from Alexandria: an optimized crystal structure of Al2SbAs (PBE).

Unit cell a=6.701 b=6.701 c=6.701 alpha=148.09 beta=147.34 gamma=46.31
Atoms (fractional coordinates):
Sb: 0.295 0.795 0.500
As: 0.536 0.536 0.000
Al: 0.978 0.978 0.000
Al: 0.691 0.191 0.500

Properties
DOS at the Fermi energy   1.92 states/eV per cell

=====

Stability ranking, top entry: run a; the second entry is 0.164 eV/atom less favorable.

=====

Run a
Entry from Alexandria: an optimized crystal structure of AlSbAs2 (PBE).

Unit cell a=3.260 b=3.260 c=8.474 alpha=90.00 beta=90.00 gamma=109.59
Atoms (fractional coordinates):
Sb: 0.500 0.500 0.250
As: 0.000 0.000 0.958
As: 0.000 0.000 0.542
Al: 0.500 0.500 0.750

Properties
DOS at the Fermi energy   1.25 states/eV per cell

=====

Run b
Entry from Alexandria: an optimized crystal structure of AlSbAs2 (PBE).

Unit cell a=3.923 b=4.765 c=5.059 alpha=71.90 beta=90.00 gamma=90.00
Atoms (fractional coordinates):
Sb: 0.500 0.250 0.250
As: 0.000 0.018 0.946
As: 0.000 0.482 0.554
Al: 0.500 0.750 0.750

Properties
DOS at the Fermi energy   1.60 states/eV per cell

=====

Stability ranking, top entry: run b; the second entry is 0.243 eV/atom less favorable.

=====

Run a
Entry from Alexandria: an optimized crystal structure of AlSbAs2 (PBE).

Unit cell a=6.121 b=6.121 c=4.382 alpha=70.86 beta=70.86 gamma=35.38
Atoms (fractional coordinates):
Sb: 0.561 0.561 0.382
As: 0.923 0.923 0.009
As: 0.744 0.744 0.768
Al: 0.272 0.272 0.341

Properties
DOS at the Fermi energy   1.82 states/eV per cell

=====

Run b
Entry from Alexandria: an optimized crystal structure of AlSbAs2 (PBE).

Unit cell a=4.884 b=4.884 c=4.884 alpha=60.00 beta=60.00 gamma=60.00
Atoms (fractional coordinates):
Sb: 0.250 0.250 0.250
As: 0.000 0.000 0.000
As: 0.750 0.750 0.750
Al: 0.500 0.500 0.500

Properties
DOS at the Fermi energy   3.11 states/eV per cell

=====

Run c
Entry from Alexandria: an optimized crystal structure of AlSbAs2 (PBE).

Unit cell a=5.856 b=5.856 c=4.666 alpha=71.22 beta=71.22 gamma=36.74
Atoms (fractional coordinates):
Sb: 0.750 0.750 0.750
As: 0.933 0.933 0.105
As: 0.567 0.567 0.395
Al: 0.250 0.250 0.250

Properties
DOS at the Fermi energy   1.47 states/eV per cell

=====

Run d
Entry from Alexandria: an optimized crystal structure of AlSbAs2 (PBE).

Unit cell a=6.117 b=6.117 c=6.117 alpha=141.90 beta=141.90 gamma=54.99
Atoms (fractional coordinates):
Sb: 0.500 0.500 0.000
As: 0.000 0.000 0.000
As: 0.250 0.750 0.500
Al: 0.750 0.250 0.500

Properties
DOS at the Fermi energy   1.84 states/eV per cell

=====

Stability ranking, top entry: run a; the second entry is 0.078 eV/atom less favorable.

=====

Run a
Entry from Alexandria: an optimized crystal structure of AlSbAs2 (PBE).

Unit cell a=4.823 b=4.823 c=3.600 alpha=90.00 beta=90.00 gamma=96.48
Atoms (fractional coordinates):
Sb: 0.500 0.000 0.500
As: 0.000 0.000 0.000
As: 0.500 0.500 0.000
Al: 0.000 0.500 0.500

Properties
DOS at the Fermi energy   1.26 states/eV per cell

=====

Run b
Entry from Alexandria: an optimized crystal structure of AlSbAs2 (PBE).

Unit cell a=3.927 b=3.927 c=5.884 alpha=90.00 beta=90.00 gamma=90.00
Atoms (fractional coordinates):
Sb: 0.000 0.000 0.406
As: 0.000 0.000 0.858
As: 0.500 0.500 0.341
Al: 0.500 0.500 0.894

Properties
DOS at the Fermi energy   0.97 states/eV per cell

=====

Stability ranking, top entry: run b; the second entry is 0.305 eV/atom less favorable.

=====

Run a
Entry from Alexandria: an optimized crystal structure of AlSb2As (PBE).

Unit cell a=3.445 b=3.445 c=8.259 alpha=90.00 beta=90.00 gamma=106.30
Atoms (fractional coordinates):
Sb: 0.000 0.000 0.007
Sb: 0.000 0.000 0.493
As: 0.500 0.500 0.750
Al: 0.500 0.500 0.250

Properties
DOS at the Fermi energy   2.10 states/eV per cell

=====

Run b
Entry from Alexandria: an optimized crystal structure of AlSb2As (PBE).

Unit cell a=5.062 b=5.062 c=5.062 alpha=60.00 beta=60.00 gamma=60.00
Atoms (fractional coordinates):
Sb: 0.000 0.000 0.000
Sb: 0.750 0.750 0.750
As: 0.250 0.250 0.250
Al: 0.500 0.500 0.500

Properties
DOS at the Fermi energy   2.56 states/eV per cell

=====

Stability ranking, top entry: run b; the second entry is 0.014 eV/atom less favorable.